Record 1
Entry from Alexandria: Nd2Ge3Rh after structural relaxation (PBE).

Cell and atoms, written as POSCAR:
```
Nd2Ge3Rh
1.0
5.993 0.059 0.000
-0.174 5.991 0.000
-2.910 -3.025 7.385
Nd Ge Rh
4 6 2
Direct
0.250 0.750 0.500 Nd
0.749 0.749 0.000 Nd
0.750 0.250 0.500 Nd
0.251 0.251 0.000 Nd
0.338 0.832 0.169 Ge
0.168 0.662 0.831 Ge
0.662 0.168 0.831 Ge
0.832 0.338 0.169 Ge
0.169 0.169 0.337 Ge
0.831 0.831 0.663 Ge
0.667 0.667 0.333 Rh
0.333 0.333 0.667 Rh
```

Volume, A^3/atom: 22.10
Energy relative to the lowest polymorph listed for this composition, meV/atom: 0
DOS at the Fermi energy, states/eV per cell: 4.39



Record 2
Entry from Alexandria: SmDy2Pt2 after structural relaxation (PBE).

Cell and atoms, written as POSCAR:
```
SmDy2Pt2
1.0
3.941 0.000 0.000
0.000 7.828 0.000
0.000 0.000 7.828
Sm Dy Pt
2 4 4
Direct
0.000 0.000 0.000 Sm
0.000 0.500 0.500 Sm
0.500 0.160 0.660 Dy
0.500 0.660 0.840 Dy
0.500 0.840 0.340 Dy
0.500 0.340 0.160 Dy
0.000 0.363 0.863 Pt
0.000 0.863 0.637 Pt
0.000 0.637 0.137 Pt
0.000 0.137 0.363 Pt
```

Volume, A^3/atom: 24.15
Energy relative to the lowest polymorph listed for this composition, meV/atom: 0
DOS at the Fermi energy, states/eV per cell: 8.15



Record 3
Entry from Alexandria: Nb3GeMo after structural relaxation (PBE).

Cell and atoms, written as POSCAR:
```
Nb3GeMo
1.0
4.708 0.000 0.000
0.000 4.708 0.000
0.000 0.000 4.708
Mo Ge Nb
1 1 3
Direct
0.500 0.500 0.500 Mo
0.000 0.000 0.000 Ge
0.000 0.500 0.000 Nb
0.000 0.000 0.500 Nb
0.500 0.000 0.000 Nb
```

Volume, A^3/atom: 20.87
Energy relative to the lowest polymorph listed for this composition, meV/atom: 0
DOS at the Fermi energy, states/eV per cell: 8.32